# LiMg7Zn4, optimized geometry, DFT PBE
data_LiMg7Zn4
_chemical_formula_sum 'Li2 Mg14 Zn8'
_cell_length_a 12.978
_cell_length_b 4.903
_cell_length_c 9.664
_cell_angle_alpha 90.00
_cell_angle_beta 126.78
_cell_angle_gamma 90.00
_space_group_name_H-M_alt 'C 1 2/m 1'
_space_group_IT_number 12
_space_group_name_Hall '-C 2y'
loop_
_atom_site_label
_atom_site_type_symbol
_atom_site_fract_x
_atom_site_fract_y
_atom_site_fract_z
Li1 Li 0.000 0.000 0.000
Mg1 Mg 0.000 0.500 0.000
Mg2 Mg 0.070 0.000 0.362
Mg3 Mg 0.169 0.500 0.617
Mg4 Mg 0.218 0.000 0.871
Zn1 Zn 0.058 0.500 0.778
Zn2 Zn 0.188 0.500 0.339
# Mass density = 3.0 g/cm3
# Total magnetization = 0.00 μB/cell
# Crystal system = monoclinic
# E_tot = -1.48 eV per atom